# RuWAu2 GGA-PBE relaxed
data_RuWAu2
_chemical_formula_sum 'Ru1 W1 Au2'
_cell_length_a 4.522
_cell_length_b 4.522
_cell_length_c 4.522
_cell_angle_alpha 60.00
_cell_angle_beta 60.00
_cell_angle_gamma 60.00
_space_group_name_H-M_alt 'P 1'
_space_group_IT_number 1
_space_group_name_Hall 'P 1'
loop_
_atom_site_label
_atom_site_fract_x
_atom_site_fract_y
_atom_site_fract_z
W1 0.500 0.500 0.500
Au1 0.750 0.750 0.750
Au2 0.250 0.250 0.250
Ru1 0.000 0.000 0.000
# **SG**: No. 225
# **Total DFT energy (no corrections)**: -6.5803 eV/atom
# **V**: 65.4 Å³ per cell
# **Total magnetization**: 0.00 μB/cell
# **ΔE_f**: 0.62 eV per atom
# **Relative energy among the computed polymorphs**: 450 meV/atom